No. 1
Entry from Alexandria via LeMat-Bulk: a relaxed structure of FeAs2Br (PBE-GGA).

Polymorph energy (0 for the lowest one): 0.700 eV per atom
Energy relative to the elements, uncorrected: 0.67 eV per atom

abc: 5.839 5.839 2.998
angles: 90.00 90.00 128.19
Each line ends with the local moment (μB).
Fractional coordinates of all 4 atoms:
As 0.000 0.000 0.000  -0.03
As 0.500 0.500 0.000  -0.03
Br 0.500 0.000 0.500  0.07
Fe 0.000 0.500 0.500  3.07

No. 2
Entry from Alexandria via LeMat-Bulk: a relaxed structure of Li2ZnNi (PBE-GGA).

Formation energy from the elements: -0.38 eV per formula unit

abc: 4.386 2.631 4.497
angles: 84.76 90.00 90.00
Fractional coordinates of all 4 atoms:
Ni 0.500 0.250 0.250
Zn 0.500 0.750 0.750
Li 0.000 0.015 0.012
Li 0.000 0.485 0.488

No. 3
Entry from Alexandria via LeMat-Bulk: a relaxed structure of B2CCl (PBE-GGA).

Polymorph energy (0 for the lowest one): 2.451 eV per atom
Energy relative to the elements, uncorrected: 2.93 eV per atom

abc: 3.733 3.733 3.733
angles: 60.00 60.00 60.00
Fractional coordinates of all 4 atoms:
C 0.000 0.000 0.000
B 0.250 0.250 0.250
B 0.750 0.750 0.750
Cl 0.500 0.500 0.500

No. 4
Entry from Alexandria via LeMat-Bulk: a relaxed structure of K2BeGe (PBE-GGA).

Polymorph energy (0 for the lowest one): 0.046 eV per atom
Formation energy from the elements: 0.22 eV per formula unit

abc: 10.504 3.897 12.913
angles: 90.00 113.23 90.00
Fractional coordinates of all 16 atoms:
Be 0.781 0.000 0.927
Be 0.781 0.500 0.427
Be 0.695 0.000 0.382
Be 0.695 0.500 0.882
Ge 0.561 0.000 0.792
Ge 0.561 0.500 0.292
Ge 0.915 0.000 0.516
Ge 0.915 0.500 0.016
K 0.236 0.000 0.153
K 0.236 0.500 0.653
K 0.031 0.000 0.839
K 0.031 0.500 0.339
K 0.440 0.000 0.466
K 0.440 0.500 0.966
K 0.735 0.000 0.153
K 0.735 0.500 0.653

No. 5
Entry from Alexandria via LeMat-Bulk: a relaxed structure of FeAsIr2 (PBE-GGA).

Formation energy from the elements: 0.53 eV per formula unit

abc: 2.877 3.920 5.208
angles: 90.00 90.00 90.00
Each line ends with the local moment (μB).
Fractional coordinates of all 4 atoms:
As 0.000 0.000 0.468  0.00
Fe 0.500 0.500 0.788  2.92
Ir 0.000 0.000 0.960  0.39
Ir 0.500 0.500 0.284  0.17

No. 6
Entry from Alexandria via LeMat-Bulk: a relaxed structure of AlHgAs2Br (PBE-GGA).

Polymorph energy (0 for the lowest one): 0.000 eV per atom
Energy relative to the elements, uncorrected: 0.31 eV per atom

abc: 5.006 5.006 5.097
angles: 90.00 90.00 90.00
Each line ends with the local moment (μB).
Fractional coordinates of all 5 atoms:
As 0.000 0.500 0.000  0.22
As 0.500 0.000 0.000  0.22
Hg 0.500 0.500 0.500  0.03
Br 0.000 0.000 0.500  0.08
Al 0.000 0.000 0.000  0.00

No. 7
Entry from Alexandria via LeMat-Bulk: a relaxed structure of Pu3SnH3 (PBE-GGA).

Polymorph energy (0 for the lowest one): 0.000 eV per atom

abc: 4.201 8.241 8.241
angles: 120.00 90.00 90.00
Each line ends with the local moment (μB).
Fractional coordinates of all 14 atoms:
Pu 0.750 0.348 0.284  5.39
Pu 0.750 0.936 0.652  5.39
Pu 0.750 0.716 0.064  5.39
Pu 0.250 0.652 0.716  5.39
Pu 0.250 0.064 0.348  5.39
Pu 0.250 0.284 0.936  5.39
Sn 0.750 0.333 0.667  -0.18
Sn 0.250 0.667 0.333  -0.18
H 0.750 0.039 0.217  -0.03
H 0.750 0.177 0.961  -0.03
H 0.750 0.783 0.823  -0.03
H 0.250 0.961 0.783  -0.03
H 0.250 0.823 0.039  -0.03
H 0.250 0.217 0.177  -0.03

No. 8
Entry from Alexandria via LeMat-Bulk: a relaxed structure of SiSnSb2Rh (PBE-GGA).

Energy relative to the elements, uncorrected: 0.49 eV per atom

abc: 5.143 5.076 5.143
angles: 90.00 90.00 90.00
Fractional coordinates of all 5 atoms:
Sb 0.000 0.000 0.500
Sb 0.500 0.000 0.000
Si 0.500 0.500 0.500
Rh 0.000 0.000 0.000
Sn 0.000 0.500 0.000

No. 9
Entry from Alexandria via LeMat-Bulk: a relaxed structure of ZrZnRe2 (PBE-GGA).

Formation energy from the elements: 3.03 eV per formula unit

abc: 7.369 7.369 5.825
angles: 50.76 50.76 90.00
Fractional coordinates of all 8 atoms:
Re 0.588 0.125 0.250
Re 0.162 0.625 0.250
Re 0.375 0.412 0.750
Re 0.875 0.838 0.750
Zn 0.500 0.500 0.000
Zn 0.250 0.750 0.500
Zr 0.000 0.000 0.000
Zr 0.750 0.250 0.500

No. 10
Entry from Alexandria via LeMat-Bulk: a relaxed structure of P2HIrAu (PBE-GGA).

Polymorph energy (0 for the lowest one): 0.043 eV per atom

abc: 3.345 4.216 6.344
angles: 101.39 89.91 113.66
Fractional coordinates of all 5 atoms:
P 0.547 0.436 0.496
P 0.265 0.875 0.140
H 0.396 0.130 0.592
Ir 0.988 0.317 0.230
Au 0.760 0.867 0.822

No. 11
Entry from Alexandria via LeMat-Bulk: a relaxed structure of La2GaGe6Pt (PBE-GGA).

Formation energy from the elements: -3.89 eV per formula unit

abc: 5.752 9.258 8.625
angles: 90.00 90.00 90.00
Fractional coordinates of all 20 atoms:
La 0.500 0.699 0.245
La 0.000 0.301 0.745
La 0.500 0.699 0.755
La 0.000 0.301 0.255
Ga 0.500 0.342 0.500
Ga 0.000 0.658 0.000
Ge 0.500 0.145 0.287
Ge 0.500 0.145 0.713
Ge 0.000 0.855 0.213
Ge 0.000 0.855 0.787
Ge 0.234 0.032 0.500
Ge 0.766 0.032 0.500
Ge 0.211 0.541 0.500
Ge 0.789 0.541 0.500
Ge 0.711 0.459 0.000
Ge 0.289 0.459 0.000
Ge 0.266 0.968 0.000
Ge 0.734 0.968 0.000
Pt 0.000 0.796 0.500
Pt 0.500 0.204 0.000

No. 12
Entry from Alexandria via LeMat-Bulk: a relaxed structure of Zr5Sb (PBE-GGA).

Polymorph energy (0 for the lowest one): 0.002 eV per atom
Energy relative to the elements, uncorrected: -0.26 eV per atom

abc: 5.663 5.663 6.665
angles: 73.43 73.43 42.21
Fractional coordinates of all 6 atoms:
Zr 0.694 0.694 0.609
Zr 0.361 0.361 0.280
Zr 0.360 0.360 0.779
Zr 0.028 0.028 0.444
Zr 0.695 0.695 0.110
Sb 0.028 0.028 0.944

No. 13
Entry from Alexandria via LeMat-Bulk: a relaxed structure of CeBi2Au9 (PBE-GGA).

Formation energy from the elements: -2.50 eV per formula unit

abc: 5.632 5.632 19.030
angles: 90.00 90.00 120.00
Each line ends with the local moment (μB).
Fractional coordinates of all 24 atoms:
Ce 0.333 0.667 0.750  1.03
Ce 0.667 0.333 0.250  1.03
Bi 0.333 0.667 0.535  0.00
Bi 0.667 0.333 0.035  0.00
Bi 0.667 0.333 0.465  0.00
Bi 0.333 0.667 0.965  0.00
Au 0.000 0.000 0.000  0.00
Au 0.000 0.000 0.500  0.00
Au 0.000 0.000 0.250  0.00
Au 0.000 0.000 0.750  0.00
Au 0.333 0.667 0.250  0.00
Au 0.667 0.333 0.750  0.00
Au 0.168 0.336 0.126  0.01
Au 0.664 0.832 0.126  0.01
Au 0.168 0.832 0.126  0.01
Au 0.832 0.664 0.626  0.01
Au 0.336 0.168 0.626  0.01
Au 0.832 0.168 0.626  0.01
Au 0.336 0.168 0.874  0.01
Au 0.832 0.664 0.874  0.01
Au 0.832 0.168 0.874  0.01
Au 0.664 0.832 0.374  0.01
Au 0.168 0.336 0.374  0.01
Au 0.168 0.832 0.374  0.01

No. 14
Entry from Alexandria via LeMat-Bulk: a relaxed structure of Tb2Nd2Er (PBE-GGA).

Polymorph energy (0 for the lowest one): 0.000 eV per atom
Formation energy from the elements: 0.11 eV per formula unit

abc: 6.346 8.569 9.675
angles: 43.42 70.85 68.27
Fractional coordinates of all 10 atoms:
Tb 0.819 0.243 0.952
Tb 0.014 0.257 0.548
Tb 0.181 0.757 0.048
Tb 0.986 0.743 0.452
Nd 0.785 0.755 0.848
Nd 0.388 0.745 0.652
Nd 0.215 0.245 0.152
Nd 0.612 0.255 0.348
Er 0.584 0.750 0.250
Er 0.416 0.250 0.750

No. 15
Entry from Alexandria via LeMat-Bulk: a relaxed structure of CsKLi (PBE-GGA).

Polymorph energy (0 for the lowest one): 0.028 eV per atom
Formation energy from the elements: 0.50 eV per formula unit

abc: 4.899 6.826 6.826
angles: 120.00 90.00 90.00
Fractional coordinates of all 3 atoms:
Cs 0.669 0.333 0.667
K 0.210 0.667 0.333
Li 0.121 0.000 0.000

No. 16
Entry from Alexandria via LeMat-Bulk: a relaxed structure of B6AuN6 (PBE-GGA).

Energy relative to the elements, uncorrected: -0.25 eV per atom

abc: 4.623 4.623 4.623
angles: 90.00 90.00 90.00
Fractional coordinates of all 13 atoms:
B 0.253 0.000 0.500
B 0.000 0.500 0.253
B 0.500 0.747 0.000
B 0.747 0.000 0.500
B 0.000 0.500 0.747
B 0.500 0.253 0.000
Au 0.500 0.500 0.500
N 0.000 0.245 0.500
N 0.000 0.755 0.500
N 0.500 0.000 0.755
N 0.755 0.500 0.000
N 0.500 0.000 0.245
N 0.245 0.500 0.000

No. 17
Entry from Alexandria via LeMat-Bulk: a relaxed structure of Pu2Zn6GaAu (PBE-GGA).

Formation energy from the elements: -0.13 eV per formula unit

abc: 6.419 6.419 12.069
angles: 74.58 74.58 60.00
Each line ends with the local moment (μB).
Fractional coordinates of all 20 atoms:
Pu 0.891 0.891 0.326  5.55
Pu 0.109 0.109 0.674  5.55
Pu 0.718 0.718 0.845  5.48
Pu 0.282 0.282 0.155  5.48
Zn 0.941 0.331 0.397  0.02
Zn 0.331 0.941 0.397  0.02
Zn 0.331 0.331 0.397  0.02
Zn 0.059 0.669 0.603  0.02
Zn 0.669 0.059 0.603  0.02
Zn 0.669 0.669 0.603  0.02
Zn 0.632 0.231 0.905  0.01
Zn 0.231 0.632 0.905  0.01
Zn 0.231 0.231 0.905  0.01
Zn 0.368 0.769 0.095  0.01
Zn 0.769 0.368 0.095  0.01
Zn 0.769 0.769 0.095  0.01
Ga 0.575 0.575 0.274  -0.04
Ga 0.425 0.425 0.726  -0.04
Au 0.000 0.000 0.000  0.00
Au 0.500 0.500 0.500  0.00

No. 18
Entry from Alexandria via LeMat-Bulk: a relaxed structure of ZnGa2Sn (PBE-GGA).

Polymorph energy (0 for the lowest one): 0.041 eV per atom
Formation energy from the elements: 0.39 eV per formula unit

abc: 3.326 3.338 8.779
angles: 86.13 90.00 119.89
Fractional coordinates of all 4 atoms:
Zn 0.000 0.000 0.500
Ga 0.678 0.356 0.277
Ga 0.322 0.644 0.723
Sn 0.000 0.000 0.000

No. 19
Entry from Alexandria via LeMat-Bulk: a relaxed structure of CaNd4Rh2 (PBE-GGA).

Polymorph energy (0 for the lowest one): 0.000 eV per atom
Formation energy from the elements: -2.63 eV per formula unit

abc: 6.810 9.138 7.410
angles: 113.79 90.00 90.00
Fractional coordinates of all 14 atoms:
Rh 0.250 0.334 0.967
Rh 0.750 0.666 0.033
Rh 0.750 0.339 0.381
Rh 0.250 0.661 0.619
Ca 0.250 0.793 0.039
Ca 0.750 0.207 0.961
Nd 0.498 0.435 0.716
Nd 0.250 0.209 0.243
Nd 0.750 0.791 0.757
Nd 0.002 0.435 0.716
Nd 0.750 0.004 0.333
Nd 0.998 0.565 0.284
Nd 0.502 0.565 0.284
Nd 0.250 0.996 0.667

No. 20
Entry from Alexandria via LeMat-Bulk: a relaxed structure of ZrAg2Au (PBE-GGA).

Polymorph energy (0 for the lowest one): 0.094 eV per atom
Formation energy from the elements: -0.38 eV per formula unit

abc: 5.150 5.150 5.170
angles: 80.70 80.70 34.08
Fractional coordinates of all 4 atoms:
Ag 0.002 0.002 0.984
Ag 0.752 0.752 0.762
Au 0.499 0.499 0.488
Zr 0.246 0.246 0.266

No. 21
Entry from Alexandria via LeMat-Bulk: a relaxed structure of LaPmY3Ho (PBE-GGA).

Formation energy from the elements: 0.16 eV per formula unit

abc: 5.106 8.072 10.217
angles: 90.00 90.00 108.48
Fractional coordinates of all 12 atoms:
La 0.499 0.998 0.750
La 0.501 0.002 0.250
Pm 0.000 0.000 0.500
Pm 0.000 0.000 0.000
Y 0.668 0.336 0.500
Y 0.332 0.664 0.500
Y 0.332 0.664 0.000
Y 0.668 0.336 0.000
Y 0.169 0.338 0.750
Y 0.831 0.662 0.250
Ho 0.831 0.663 0.750
Ho 0.169 0.337 0.250

No. 22
Entry from Alexandria via LeMat-Bulk: a relaxed structure of SrGaSn4 (PBE-GGA).

Formation energy from the elements: -1.02 eV per formula unit

abc: 6.273 6.273 6.273
angles: 60.00 60.00 60.00
Fractional coordinates of all 6 atoms:
Sr 0.250 0.250 0.250
Sn 0.626 0.626 0.123
Sn 0.626 0.123 0.626
Sn 0.626 0.626 0.626
Sn 0.123 0.626 0.626
Ga 0.000 0.000 0.000

No. 23
Entry from Alexandria via LeMat-Bulk: a relaxed structure of Tb2Zn3GaPt4 (PBE-GGA).

Formation energy from the elements: -8.02 eV per formula unit

abc: 4.174 4.174 10.709
angles: 90.00 90.00 90.00
Fractional coordinates of all 10 atoms:
Tb 0.500 0.000 0.240
Tb 0.000 0.500 0.760
Zn 0.000 0.000 0.500
Zn 0.500 0.000 0.866
Zn 0.000 0.500 0.134
Ga 0.500 0.500 0.500
Pt 0.500 0.500 0.000
Pt 0.000 0.000 0.000
Pt 0.500 0.000 0.637
Pt 0.000 0.500 0.363